BeTlRe4 after structural relaxation. Source: Alexandria, functional PBE-GGA.

Formation energy in eV/f.u.: 5.40
D(E_F) in states/eV per atom: 0.65
Space-group type: F-43m

Cell: 5.2413 5.2413 5.2413 Å, 60.00 60.00 60.00°
Atoms (fractional coordinates):
1 Be 0.0000 0.0000 0.0000
2 Tl 0.7500 0.7500 0.7500
3 Re 0.3745 0.3745 0.3745
4 Re 0.3745 0.3745 0.8766
5 Re 0.3745 0.8766 0.3745
6 Re 0.8766 0.3745 0.3745

Be2TlRe after structural relaxation. Source: Alexandria, functional PBE-GGA.

Formation energy in eV/f.u.: 2.99
D(E_F) in states/eV per atom: 0.38
Space-group type: Fm-3m

Cell: 4.2311 4.2311 4.2311 Å, 60.00 60.00 60.00°
Atoms (fractional coordinates):
1 Be 0.2500 0.2500 0.2500
2 Be 0.7500 0.7500 0.7500
3 Tl 0.0000 0.0000 0.0000
4 Re 0.5000 0.5000 0.5000

BeTlRe2 after structural relaxation. Source: Alexandria, functional PBE-GGA.

Formation energy in eV/f.u.: 2.23
D(E_F) in states/eV per atom: 0.76
Space-group type: R3m

Cell: 9.1146 9.1146 9.1146 Å, 18.26 18.26 18.26°
Atoms (fractional coordinates):
1 Be 0.0000 0.0000 0.0000
2 Tl 0.2432 0.2432 0.2432
3 Re 0.4781 0.4781 0.4781
4 Re 0.7349 0.7349 0.7349

Be2TlRe after structural relaxation. Source: Alexandria, functional PBE-GGA.

Formation energy in eV/f.u.: 2.64
D(E_F) in states/eV per atom: 1.11
Space-group type: R-3m

Cell: 8.3086 8.3086 8.3086 Å, 20.34 20.34 20.34°
Atoms (fractional coordinates):
1 Be 0.2390 0.2390 0.2390
2 Be 0.7610 0.7610 0.7610
3 Tl 0.0000 0.0000 0.0000
4 Re 0.5000 0.5000 0.5000

Repeat the third record exactly.
BeTlRe2 after structural relaxation. Source: Alexandria, functional PBE-GGA.

Formation energy in eV/f.u.: 2.23
D(E_F) in states/eV per atom: 0.76
Space-group type: R3m

Cell: 9.1146 9.1146 9.1146 Å, 18.26 18.26 18.26°
Atoms (fractional coordinates):
1 Be 0.0000 0.0000 0.0000
2 Tl 0.2432 0.2432 0.2432
3 Re 0.4781 0.4781 0.4781
4 Re 0.7349 0.7349 0.7349